Material: Zn2CuMo
Method: DFT, meta-GGA SCAN
State: PBEsol geometry

abc: 2.6161 4.5455 9.1160
angles: 90.00 90.00 90.00
Last column: nearest neighbours and their distance in Å.
Space group Imm2 (No. 44)
One atom of each set of equivalent atoms:
1 Zn 0.0000 0.0000 0.0000  2 Cu 2.49, 4 Zn 2.60-2.62, 4 Mo 2.62
2 Zn 0.0000 0.5000 0.2537  4 Zn 2.60-2.62, 4 Cu 2.63, 2 Mo 2.74
3 Cu 0.0000 0.5000 0.7329  6 Zn 2.49-2.63, 2 Cu 2.62, 2 Mo 2.68
4 Mo 0.0000 0.0000 0.4899  2 Mo 2.62, 6 Zn 2.62-2.74, 2 Cu 2.68

DFT formation energy = 0.1788 eV/atom
energy above the lowest structure with this stoichiometry = 188 meV per atom

=====

Material: Zn2CuMo
Method: DFT, meta-GGA SCAN
State: PBEsol geometry

abc: 3.7963 3.7963 3.7091
angles: 90.00 90.00 90.00
Last column: nearest neighbours and their distance in Å.
Space group P4/mmm (No. 123)
One atom of each set of equivalent atoms:
1 Zn 0.0000 0.5000 0.0000  4 Mo 2.65, 4 Cu 2.65, 4 Zn 2.68
2 Cu 0.0000 0.0000 0.5000  8 Zn 2.65, 4 Mo 2.68
3 Mo 0.5000 0.5000 0.5000  8 Zn 2.65, 4 Cu 2.68

DFT formation energy = 0.0566 eV/atom
energy above the lowest structure with this stoichiometry = 66 meV per atom

=====

Material: Zn2CuMo
Method: DFT, meta-GGA SCAN
State: PBEsol geometry

abc: 6.0021 6.0021 6.0021
angles: 90.00 90.00 90.00
Last column: nearest neighbours and their distance in Å.
Space group Fm-3m (No. 225)
One atom of each set of equivalent atoms:
1 Zn 0.2500 0.2500 0.2500  4 Cu 2.60, 4 Mo 2.60
2 Cu 0.0000 0.0000 0.0000  8 Zn 2.60
3 Mo 0.0000 0.0000 0.5000  8 Zn 2.60

DFT formation energy = 0.2667 eV/atom
energy above the lowest structure with this stoichiometry = 276 meV per atom

=====

Material: Zn2CuMo
Method: DFT, meta-GGA SCAN
State: PBEsol geometry

abc: 2.6049 2.6049 7.8349
angles: 90.00 90.00 90.00
Last column: nearest neighbours and their distance in Å.
Space group P4/mmm (No. 123)
One atom of each set of equivalent atoms:
1 Zn 0.0000 0.0000 0.2334  4 Cu 2.60, 4 Zn 2.60, 4 Mo 2.78
2 Cu 0.5000 0.5000 0.0000  8 Zn 2.60, 4 Cu 2.60
3 Mo 0.5000 0.5000 0.5000  4 Mo 2.60, 8 Zn 2.78

DFT formation energy = -0.0090 eV/atom
energy above the lowest structure with this stoichiometry = 0 meV per atom

=====

Material: ZrCuMo2
Method: DFT, meta-GGA SCAN
State: PBEsol geometry

abc: 6.2969 6.2969 6.2969
angles: 90.00 90.00 90.00
Last column: nearest neighbours and their distance in Å.
Space group Fm-3m (No. 225)
One atom of each set of equivalent atoms:
1 Zr 0.0000 0.0000 0.0000  8 Mo 2.73
2 Cu 0.0000 0.0000 0.5000  8 Mo 2.73
3 Mo 0.2500 0.2500 0.2500  4 Zr 2.73, 4 Cu 2.73

DFT formation energy = 0.5097 eV/atom

=====

Material: NaCuSN2
Method: DFT, meta-GGA SCAN
State: PBEsol geometry

abc: 4.1423 4.1423 5.1886
angles: 90.00 90.00 90.00
Last column: nearest neighbours and their distance in Å.
Space group P4/mmm (No. 123)
One atom of each set of equivalent atoms:
1 Na 0.0000 0.0000 0.0000  4 N 2.07
2 Cu 0.5000 0.5000 0.5000  4 S 2.93
3 S 0.0000 0.0000 0.5000  2 Na 2.59
4 N 0.0000 0.5000 0.0000  2 Na 2.07

formation energy without anion corrections = 1.98 eV per atom

=====

Calculated VASP energy in order - -19.10; -19.22; -19.01; -19.29; -28.41; -7.55 eV per atom